Ca2PuSnN GGA-PBE optimized geometry; total energy = -0.510 Ry per atom; formation energy without anion corrections = -4.0 eV per formula unit; volume = 116 Å³/cell
1.0
4.718 0.000 0.000
0.000 4.950 0.000
0.000 0.000 4.950
Ca Pu Sn N
2 1 1 1
Direct
0.000 0.000 0.500
0.000 0.500 0.000
0.500 0.000 0.000
0.500 0.500 0.500
0.000 0.000 0.000

---

Sr2Ca2PuN4 GGA-PBE optimized geometry; total energy = -0.496 Ry per atom; formation energy without anion corrections = -5.7 eV per formula unit; volume = 175 Å³/cell
1.0
-0.395 -3.554 0.643
0.175 -1.266 -6.894
6.935 1.733 3.575
Sr Ca Pu N
2 2 1 4
Direct
0.152 0.497 0.304
0.848 0.503 0.696
0.665 0.980 0.330
0.335 0.020 0.670
0.000 0.000 0.000
0.233 0.219 0.467
0.767 0.781 0.533
0.484 0.794 0.967
0.516 0.206 0.033

---

Ca4PuTa3N8 GGA-PBE optimized geometry; total energy = -0.662 Ry per atom; formation energy without anion corrections = -19.7 eV per formula unit; volume = 205 Å³/cell
1.0
-6.303 -1.420 -0.890
1.448 -2.658 -6.011
3.130 -2.220 5.274
Ca Pu Ta N
4 1 3 8
Direct
0.500 0.000 0.000
0.500 0.000 0.500
0.000 0.000 0.000
0.000 0.000 0.500
0.000 0.500 0.000
0.500 0.500 0.000
0.500 0.500 0.500
0.000 0.500 0.500
0.245 0.712 0.967
0.245 0.712 0.490
0.262 0.287 0.525
0.722 0.712 0.967
0.278 0.288 0.033
0.738 0.713 0.475
0.755 0.288 0.510
0.755 0.288 0.033